Entry 1:
Below is a relaxed structure of Nd2UAl2Ru5, with properties calculated at the GGA-PBE level.

Computed properties:
DOS(E_F) = 5.4 states/eV/f.u.
Uncorrected energy = -78.979 eV per formula unit
Formation energy = -0.429 eV per atom
Total magnetization = 0.0 μB/cell

a b c (Å): 10.3185 10.3185 3.3979
angles (deg): 90.00 90.00 90.00
With the nearest neighbours (Å) after each atom.
Space group P4/mbm (No. 127)
One atom of each set of equivalent atoms:
Nd (0.1701, 0.3299, 0.0000) [4 per cell]  3 Al 2.96-3.10, 10 Ru 3.01-3.27
U (0.0000, 0.0000, 0.0000) [2 per cell]  8 Ru 2.75
Al (0.1268, 0.6268, 0.0000) [4 per cell]  6 Ru 2.51-2.56
Ru (0.0000, 0.5000, 0.5000) [2 per cell]  4 Al 2.51
Ru (0.0661, 0.8015, 0.5000) [8 per cell]  2 Al 2.56, 2 U 2.75

---

Entry 2:
Below is a relaxed structure of KCrCo, with properties calculated at the GGA-PBE level.

Computed properties:
DOS(E_F) = 3.4 states/eV/f.u.
Uncorrected energy = -14.560 eV per formula unit
Offset from the most stable computed form = 224.3 meV/atom
Formation energy = 1.089 eV per atom
Total magnetization = 0.9 μB/cell

a b c (Å): 3.3152 3.3152 6.9484
angles (deg): 90.00 90.00 120.00
With the nearest neighbours (Å) after each atom.
Space group P3m1 (No. 156)
One atom of each set of equivalent atoms:
K (0.0000, 0.0000, 0.0000) [1 per cell]  6 K 3.32, 3 Co 3.36, 3 Cr 3.71
Cr (0.3333, 0.6667, 0.5426) [1 per cell]  3 Co 2.16
Co (0.6667, 0.3333, 0.3974) [1 per cell]  3 Cr 2.16

---

Entry 3:
Below is a relaxed structure of AcYTeIr, with properties calculated at the GGA-PBE level.

Computed properties:
DOS(E_F) = 3.1 states/eV/f.u.
Raw formation energy = -4.01 eV per formula unit
Uncorrected energy = -26.590 eV per formula unit
Total magnetization = 0.0 μB/cell

a b c (Å): 4.2716 4.2716 23.0790
angles (deg): 90.00 90.00 120.00
With the nearest neighbours (Å) after each atom.
Space group R3m (No. 160, hexagonal axes)
One atom of each set of equivalent atoms:
Ac (0.0000, 0.0000, 0.0000) [3 per cell]  3 Ir 2.99
Y (0.0000, 0.0000, 0.8043) [3 per cell]  3 Ir 2.88, 3 Te 3.20
Te (0.0000, 0.0000, 0.2260) [3 per cell]  3 Y 3.20, 3 Ac 3.50
Ir (0.0000, 0.0000, 0.4068) [3 per cell]  3 Y 2.88, 3 Ac 2.99

---

Entry 4:
Below is a relaxed structure of Tl3SiS4, with properties calculated at the GGA-PBE level.

Computed properties:
DOS(E_F) = 4.4 states/eV/f.u.
Raw formation energy = -3.65 eV per formula unit
Uncorrected energy = -32.685 eV per formula unit
Offset from the most stable computed form = 0.0 meV/atom
Total magnetization = 0.0 μB/cell

a b c (Å): 9.1006 10.3202 9.3389
angles (deg): 90.00 90.00 90.00
With the nearest neighbours (Å) after each atom.
Space group Pnma (No. 62)
One atom of each set of equivalent atoms:
Tl (0.0733, 0.2500, 0.1086) [4 per cell]  4 S 3.02-3.29
Tl (0.0945, 0.5572, 0.3092) [8 per cell]  5 S 2.97-3.18
Si (0.1977, 0.2500, 0.5386) [4 per cell]  4 S 2.13-2.16
S (0.0159, 0.7500, 0.5559) [4 per cell]  1 Si 2.13
S (0.1669, 0.2500, 0.7681) [4 per cell]  1 Si 2.16
S (0.1806, 0.5802, 0.9832) [8 per cell]  1 Si 2.14

---

Entry 5:
Below is a relaxed structure of NaHg2I, with properties calculated at the GGA-PBE level.

Computed properties:
DOS(E_F) = 0.0 states/eV/f.u.
Raw formation energy = -1.29 eV per formula unit
Uncorrected energy = -4.765 eV per formula unit
Offset from the most stable computed form = 256.2 meV/atom
Total magnetization = 0.0 μB/cell

a b c (Å): 8.2864 8.2864 8.2864
angles (deg): 90.00 90.00 90.00
With the nearest neighbours (Å) after each atom.
Space group Fm-3m (No. 225)
One atom of each set of equivalent atoms:
Na (0.0000, 0.0000, 0.0000) [4 per cell]  8 Hg 3.59
Hg (0.2500, 0.2500, 0.2500) [8 per cell]  4 I 3.59, 4 Na 3.59
I (0.0000, 0.0000, 0.5000) [4 per cell]  8 Hg 3.59

---

Entry 6:
Below is a relaxed structure of Li8GaHg6, with properties calculated at the GGA-PBE level.

Computed properties:
DOS(E_F) = 6.9 states/eV/f.u.
Uncorrected energy = -23.640 eV per formula unit
Formation energy = -0.233 eV per atom
Total magnetization = 0.0 μB/cell

a b c (Å): 7.9372 7.9372 17.3695
angles (deg): 90.00 90.00 120.00
With the nearest neighbours (Å) after each atom.
Space group R-3 (No. 148, hexagonal axes)
One atom of each set of equivalent atoms:
Li (0.0000, 0.0000, 0.1662) [6 per cell]  6 Hg 2.78-2.81
Li (0.0051, 0.6775, 0.6160) [18 per cell]  5 Hg 2.78-3.02
Ga (0.0000, 0.0000, 0.5000) [3 per cell]  6 Hg 2.90
Hg (0.0036, 0.6592, 0.4425) [18 per cell]  7 Li 2.78-3.02, 1 Ga 2.90